## w
Mg14CrC | the Alexandria database | PBE | optimized geometry; space group = Amm2 (38); total moment = 3.64 μB per formula unit; DOS(E_F) = 0.404 states/eV/atom
1.0
8.393 0.000 0.000
0.000 3.995 5.184
0.000 -3.995 5.184
Mg Cr C
14 1 1
Direct
0.000 0.000 0.000
0.000 0.470 0.470
0.000 0.545 0.930
0.000 0.930 0.545
0.210 0.225 0.225
0.297 0.841 0.841
0.316 0.370 0.742
0.316 0.742 0.370
0.500 0.129 0.499
0.500 0.499 0.129
0.684 0.370 0.742
0.684 0.742 0.370
0.703 0.841 0.841
0.790 0.225 0.225
0.500 0.062 0.062
0.500 0.479 0.479

## x
Mg14CrC | the Alexandria database | PBE | optimized geometry; space group = P-6m2 (187); total moment = 4.02 μB per formula unit; DOS(E_F) = 0.401 states/eV/atom
1.0
6.266 0.000 0.000
-3.133 5.427 0.000
0.000 0.000 9.727
Mg Cr C
14 1 1
Direct
0.000 0.000 0.247
0.000 0.000 0.753
0.019 0.509 0.264
0.019 0.509 0.736
0.326 0.163 0.500
0.340 0.170 0.000
0.491 0.509 0.264
0.491 0.509 0.736
0.491 0.981 0.264
0.491 0.981 0.736
0.830 0.170 0.000
0.830 0.660 0.000
0.837 0.163 0.500
0.837 0.674 0.500
0.333 0.667 0.000
0.333 0.667 0.500

Energy comparison, zero being the most stable, in meV/atom: w 0; x 96.